[1]
Density functional theory data (PBE) for a relaxed structure of BaBe2Pb.

Unit cell a=4.281 b=4.922 c=4.970 alpha=90.00 beta=90.00 gamma=90.00
Space group Pmmm (No. 47)
Inequivalent atoms, fractional coordinates:
Ba1 0.000 0.000 0.000 (multiplicity 1)
Be1 0.500 0.232 0.500 (multiplicity 2)
Pb1 0.000 0.500 0.500 (multiplicity 1)

Values from the calculation:
**Magnetization**: 0.0 μB/f.u.
**Energy relative to the elements**: 0.318 eV/atom
**Calculated total energy**: -2.95 eV/atom

***

[2]
Density functional theory data (PBE) for a relaxed structure of Na2Cu2Pt.

Unit cell a=3.654 b=3.654 c=12.978 alpha=90.00 beta=90.00 gamma=90.00
Space group I4/mmm (No. 139)
Inequivalent atoms, fractional coordinates:
Na1 0.000 0.500 0.250 (multiplicity 4)
Cu1 0.000 0.000 0.086 (multiplicity 4)
Pt1 0.000 0.000 0.500 (multiplicity 2)

Values from the calculation:
**Magnetization**: 0.0 μB/f.u.
**Energy relative to the elements**: 0.502 eV/atom
**Calculated total energy**: -2.87 eV/atom
**Offset from the most stable computed form**: 449 meV/atom